A plane-wave DFT calculation with GGA-PBE was carried out for a relaxed CeIn3Hg2 crystal.

Cell and atoms, written as CIF:
```
data_CeIn3Hg2
_chemical_formula_sum 'Ce2 In6 Hg4'
_space_group_name_H-M_alt 'P 1'
_space_group_IT_number 1
_space_group_name_Hall 'P 1'
_cell_length_a 8.283
_cell_length_b 8.283
_cell_length_c 9.138
_cell_angle_alpha 121.36
_cell_angle_beta 121.36
_cell_angle_gamma 36.65
loop_
_atom_site_label
_atom_site_type_symbol
_atom_site_fract_x
_atom_site_fract_y
_atom_site_fract_z
Ce1 Ce 0.132 0.132 0.125
Ce2 Ce 0.868 0.868 0.875
In1 In 0.005 0.005 0.336
In2 In 0.247 0.247 0.578
In3 In 0.382 0.382 0.366
In4 In 0.618 0.618 0.634
In5 In 0.753 0.753 0.422
In6 In 0.995 0.995 0.664
Hg1 Hg 0.247 0.247 0.908
Hg2 Hg 0.493 0.493 0.830
Hg3 Hg 0.507 0.507 0.170
Hg4 Hg 0.753 0.753 0.092
```

## Properties
calculated volume	26.08	Å³ per atom
DOS(E_F)	1.29	states/eV/atom
density	9.4	g cm⁻³
ΔH_f (0 K)	-0.1936	eV per atom
final energy	-2.652	eV/atom